1) PBE NdDy2I, optimized geometry; magnetic moment = 0.00 μB/cell; space-group type = No. 160
1.0
3.777 0.000 0.000
1.888 3.271 0.000
1.888 1.090 10.572
Dy I Nd
2 1 1
Cartesian
1.888 1.090 8.116
1.888 1.090 2.449
3.777 2.181 0.001
3.777 2.181 5.292


2) PBE NdDy2I, optimized geometry; magnetic moment = 0.03 μB/cell; space-group type = No. 166
1.0
3.608 0.000 0.000
1.804 3.125 0.000
1.804 1.042 11.789
I Nd Dy
1 1 2
Cartesian
3.608 2.083 5.894
0.000 0.000 0.000
5.412 3.125 3.405
1.804 1.042 8.384


Most stable of them? 1).


1) PBE NdDyI6, optimized geometry; magnetic moment = 0.00 μB/cell; space-group type = No. 148
1.0
-2.925 -6.220 -3.499
0.876 -6.978 3.170
-6.664 -3.559 3.394
I Dy Nd
6 1 1
Cartesian
-3.175 -6.319 -0.373
-4.882 -6.138 3.525
-1.644 -8.820 2.840
-7.069 -7.937 0.224
-5.538 -10.438 3.437
-3.831 -10.618 -0.461
-4.356 -8.378 1.532
0.000 0.000 0.000


2) PBE NdDyI6, optimized geometry; magnetic moment = 0.00 μB/cell; space-group type = No. 12
1.0
-0.715 5.523 6.013
-5.529 -5.800 -1.719
5.266 -4.421 3.196
I Nd Dy
6 1 1
Cartesian
2.427 -3.401 3.468
-3.405 -1.298 4.021
-0.946 -2.815 0.674
-1.456 -5.232 4.530
0.478 0.533 2.960
-0.032 -1.884 6.816
-0.489 -2.349 3.745
0.000 0.000 0.000


Most stable of them? 2).


1) PBE Nd2DyI, optimized geometry; magnetic moment = 0.00 μB/cell; space-group type = No. 123
1.0
-3.188 -1.532 1.108
1.888 -2.467 2.022
-0.258 6.047 7.616
I Nd Dy
1 2 1
Cartesian
-0.779 1.024 5.373
-0.191 4.490 5.655
-0.066 1.557 1.961
-0.650 -1.999 1.565


2) PBE Nd2DyI, optimized geometry; magnetic moment = 0.22 μB/cell; space-group type = No. 160
1.0
-1.983 -2.277 -2.361
-2.521 -2.510 1.427
-9.232 5.804 -0.955
I Dy Nd
1 1 2
Cartesian
-3.005 -3.190 -0.623
-6.872 0.513 -0.945
-7.390 4.041 -0.801
-3.338 0.162 -0.464


3) PBE Nd2DyI, optimized geometry; magnetic moment = 0.00 μB/cell; space-group type = No. 166
1.0
-3.113 -1.593 1.485
-2.834 -1.111 -2.273
2.582 -10.674 -1.175
Nd I Dy
2 1 1
Cartesian
-2.463 -10.162 -1.484
-0.901 -3.216 -0.479
0.000 0.000 0.000
-1.682 -6.689 -0.981


Most stable of them? 2).


1) PBE NdDyI, optimized geometry; magnetic moment = 0.00 μB/cell; space-group type = No. 63
1.0
5.585 0.000 0.000
0.000 3.726 0.000
0.000 1.863 9.678
I Dy Nd
2 2 2
Cartesian
1.396 1.863 3.716
4.188 3.726 5.962
4.188 3.726 9.088
1.396 1.863 0.590
1.396 1.863 7.138
4.188 3.726 2.540


2) PBE NdDyI, optimized geometry; magnetic moment = 0.38 μB/cell; space-group type = No. 156
1.0
-1.348 -3.347 1.424
2.315 2.237 2.164
-6.185 3.685 2.807
Dy Nd I
1 1 1
Cartesian
-2.950 2.785 3.753
-0.036 0.021 0.016
-2.232 -0.231 2.626


Most stable of them? 2).


1) PBE PmDyI2, optimized geometry; magnetic moment = 0.00 μB/cell; space-group type = No. 160
1.0
3.821 0.000 0.000
1.910 3.309 0.000
1.910 1.103 9.714
I Dy Pm
2 1 1
Cartesian
1.910 1.103 2.408
1.910 1.103 7.306
3.821 2.206 0.056
3.821 2.206 4.801


2) PBE PmDyI2, optimized geometry; magnetic moment = 0.00 μB/cell; space-group type = No. 166
1.0
-0.699 -0.444 3.800
-1.570 -3.307 1.315
9.076 -5.390 3.031
Pm Dy I
1 1 2
Cartesian
3.404 -4.570 4.073
0.000 0.000 0.000
6.253 -4.202 2.650
0.554 -4.939 5.496


Most stable of them? 1).


1) PBE PmDyI3, optimized geometry; magnetic moment = 0.02 μB/cell; space-group type = No. 11
1.0
3.946 0.000 0.000
0.000 8.391 -0.642
0.000 -4.848 11.469
Dy I Pm
2 6 2
Cartesian
0.986 0.392 1.495
2.959 3.151 9.332
0.986 -0.233 4.573
0.986 -2.826 10.300
2.959 3.776 6.254
2.959 6.370 0.527
0.986 0.889 8.489
2.959 2.655 2.338
0.986 -2.099 7.198
2.959 5.643 3.630


2) PBE PmDyI3, optimized geometry; magnetic moment = 0.00 μB/cell; space-group type = No. 12
1.0
-2.893 2.069 -2.139
-6.205 -8.069 -3.438
-10.113 -3.416 6.347
Dy I Pm
2 6 2
Cartesian
-7.076 -5.592 -3.890
-12.135 -3.824 4.660
-8.432 -2.063 1.355
-12.804 -3.809 1.553
-10.780 -7.353 -0.585
-5.197 -0.710 -1.711
-14.014 -8.706 2.480
-6.408 -5.608 -0.784
-10.789 -6.211 -3.496
-8.423 -3.205 4.265


Most stable of them? 2).


1) PBE PmDy2I, optimized geometry; magnetic moment = 0.00 μB/cell; space-group type = No. 160
1.0
-1.903 1.160 3.045
-1.551 -2.529 2.331
7.739 -0.701 7.442
Pm I Dy
1 1 2
Cartesian
2.149 -1.035 6.413
-2.302 -0.913 3.584
0.918 -0.513 3.107
5.664 -0.644 6.123


2) PBE PmDy2I, optimized geometry; magnetic moment = 0.00 μB/cell; space-group type = No. 166
1.0
3.748 0.000 0.000
1.874 3.246 0.000
1.874 1.082 10.525
Dy I Pm
2 1 1
Cartesian
5.622 3.246 8.055
1.874 1.082 2.471
0.000 0.000 0.000
3.748 2.164 5.263


Most stable of them? 2).


1) PBE PrDyI2, optimized geometry; magnetic moment = 0.00 μB/cell; space-group type = No. 166
1.0
3.920 0.000 0.000
1.960 3.395 0.000
1.960 1.132 10.826
Pr I Dy
1 2 1
Cartesian
3.920 2.263 5.413
1.960 1.132 7.752
5.880 3.395 3.074
0.000 0.000 0.000


2) PBE PrDyI2, optimized geometry; magnetic moment = 0.00 μB/cell; space-group type = No. 160
1.0
3.840 0.000 0.000
1.920 3.326 0.000
1.920 1.109 9.796
I Dy Pr
2 1 1
Cartesian
1.920 1.109 2.388
1.920 1.109 7.416
3.840 2.217 0.052
3.840 2.217 4.838


Most stable of them? 2).